[1]
Computed, not measured: an optimized crystal structure of Pr6DyY8 at the PBE-GGA level of DFT.

Unit cell a=9.1862 b=9.1862 c=8.8158 alpha=58.60 beta=58.60 gamma=60.00
Positions (direct):
Pr1 0.4616 0.8994 0.8682
Pr2 0.1006 0.2292 0.1318
Pr3 0.2292 0.5384 0.1318
Pr4 0.7708 0.4616 0.8682
Pr5 0.8994 0.7708 0.8682
Pr6 0.5384 0.1006 0.1318
Dy1 0.0000 0.0000 0.0000
Y1 0.2476 0.2852 0.5794
Y2 0.7148 0.1122 0.4206
Y3 0.1122 0.7524 0.4206
Y4 0.5772 0.5772 0.2683
Y5 0.4228 0.4228 0.7317
Y6 0.8878 0.2476 0.5794
Y7 0.2852 0.8878 0.5794
Y8 0.7524 0.7148 0.4206

The calculation puts the electronic total energy at -5.55 eV/atom. The energy of formation is 0.114 eV per atom. The value obtained for the density of states at the Fermi level is 23.26 states/eV per cell.

***

[2]
Computed, not measured: an optimized crystal structure of AcTmTeP at the PBE-GGA level of DFT.

Unit cell a=4.2158 b=4.2161 c=8.0408 alpha=90.00 beta=105.20 gamma=120.00
Positions (direct):
Ac1 0.1100 0.9529 0.0782
Tm1 0.4959 0.1459 0.6571
Te1 0.9850 0.3906 0.3908
P1 0.2869 0.5414 0.8436

The calculation puts the electronic total energy at -5.71 eV/atom. As for the formation energy without anion corrections: -1.430 eV/atom. The value obtained for the density of states at the Fermi level is 2.45 states/eV per cell.

***

[3]
Computed, not measured: an optimized crystal structure of Be2NiH at the PBE-GGA level of DFT.

Unit cell a=3.5698 b=3.5698 c=3.5698 alpha=60.00 beta=60.00 gamma=60.00
Positions (direct):
Ni1 0.5000 0.5000 0.5000
H1 0.0000 0.0000 0.0000
Be1 0.2500 0.2500 0.2500
Be2 0.7500 0.7500 0.7500

The calculation puts the electronic total energy at -3.72 eV/atom. The value obtained for the density of states at the Fermi level is 1.26 states/eV per cell.

***

[4]
Computed, not measured: an optimized crystal structure of CaP2PtS8 at the PBE-GGA level of DFT.

Unit cell a=5.8285 b=5.8285 c=8.4903 alpha=90.00 beta=90.00 gamma=120.00
Positions (direct):
Ca1 0.0000 0.0000 0.0000
P1 0.6667 0.3333 0.2584
P2 0.3333 0.6667 0.7416
Pt1 0.0000 0.0000 0.5000
S1 0.3333 0.6667 0.9772
S2 0.3105 0.3203 0.3170
S3 0.6797 0.9903 0.3170
S4 0.6667 0.3333 0.0228
S5 0.3203 0.0097 0.6830
S6 0.6895 0.6797 0.6830
S7 0.9903 0.3105 0.6830
S8 0.0097 0.6895 0.3170

The calculation puts the electronic total energy at -4.75 eV/atom. As for the formation energy without anion corrections: -0.430 eV/atom.

***

- Which formula does entry 2 have?
  AcTmTeP